Li2AuF | PBE | optimized geometry

D(E_F): 0.05 states/eV per atom
E above lowest polymorph: 0 meV/atom

a = 7.145 Å, b = 7.145 Å, c = 7.145 Å
α = 23.30°, β = 23.30°, γ = 23.30°
Atoms (fractional coordinates):
Li 0.223 0.223 0.223
Li 0.777 0.777 0.777
Au 0.000 0.000 0.000
F 0.500 0.500 0.500


Li2Au2F7 | PBE | optimized geometry

D(E_F): 0.12 states/eV per atom
final energy: -3.783 eV per atom

a = 6.327 Å, b = 8.203 Å, c = 6.519 Å
α = 90.00°, β = 102.92°, γ = 90.00°
Atoms (fractional coordinates):
Li 0.087 0.000 0.165
Li 0.090 0.800 0.668
Li 0.910 0.300 0.332
Li 0.913 0.500 0.835
Au 0.354 0.426 0.278
Au 0.355 0.374 0.778
Au 0.645 0.874 0.222
Au 0.646 0.926 0.722
F 0.042 0.319 0.654
F 0.042 0.485 0.155
F 0.202 0.206 0.305
F 0.210 0.594 0.811
F 0.344 0.936 0.080
F 0.348 0.857 0.580
F 0.495 0.148 0.746
F 0.505 0.648 0.254
F 0.652 0.357 0.420
F 0.656 0.436 0.920
F 0.790 0.094 0.189
F 0.798 0.706 0.695
F 0.958 0.819 0.346
F 0.958 0.985 0.845


Li2AuF | PBE | optimized geometry

D(E_F): 0.02 states/eV per atom
E above lowest polymorph: 61 meV/atom

a = 5.479 Å, b = 5.479 Å, c = 5.479 Å
α = 116.78°, β = 116.78°, γ = 95.68°
Atoms (fractional coordinates):
Li 0.008 0.125 0.383
Li 0.375 0.992 0.117
Li 0.742 0.625 0.617
Li 0.875 0.258 0.883
Au 0.250 0.750 0.500
Au 0.500 0.500 0.000
F 0.000 0.000 0.000
F 0.750 0.250 0.500


LiAuF4 | PBE | optimized geometry

D(E_F): 0.00 states/eV per atom
final energy: -3.844 eV per atom

a = 6.434 Å, b = 6.434 Å, c = 4.981 Å
α = 110.28°, β = 110.28°, γ = 62.37°
Atoms (fractional coordinates):
Li 0.154 0.846 0.750
Li 0.846 0.154 0.250
Au 0.000 0.500 0.000
Au 0.500 0.000 0.500
F 0.012 0.210 0.683
F 0.210 0.012 0.183
F 0.211 0.539 0.831
F 0.461 0.789 0.669
F 0.539 0.211 0.331
F 0.789 0.461 0.169
F 0.790 0.988 0.817
F 0.988 0.790 0.317


Li3Au5F12 | PBE | optimized geometry

D(E_F): 0.60 states/eV per atom
final energy: -3.517 eV per atom

a = 11.807 Å, b = 11.807 Å, c = 11.807 Å
α = 109.47°, β = 109.47°, γ = 109.47°
Atoms (fractional coordinates):
Li 0.125 0.250 0.375
Li 0.125 0.375 0.750
Li 0.250 0.375 0.125
Li 0.250 0.875 0.625
Li 0.375 0.125 0.250
Li 0.375 0.750 0.125
Li 0.625 0.250 0.875
Li 0.625 0.875 0.750
Li 0.750 0.125 0.375
Li 0.750 0.625 0.875
Li 0.875 0.625 0.250
Li 0.875 0.750 0.625
Au 0.000 0.000 0.000
Au 0.000 0.000 0.500
Au 0.000 0.500 0.000
Au 0.000 0.500 0.500
Au 0.125 0.750 0.875
Au 0.125 0.875 0.250
Au 0.250 0.125 0.875
Au 0.250 0.625 0.375
Au 0.375 0.250 0.625
Au 0.375 0.625 0.750
Au 0.500 0.000 0.000
Au 0.500 0.000 0.500
Au 0.500 0.500 0.000
Au 0.500 0.500 0.500
Au 0.625 0.375 0.250
Au 0.625 0.750 0.375
Au 0.750 0.375 0.625
Au 0.750 0.875 0.125
Au 0.875 0.125 0.750
Au 0.875 0.250 0.125
F 0.000 0.136 0.177
F 0.000 0.364 0.823
F 0.000 0.636 0.177
F 0.000 0.864 0.823
F 0.042 0.177 0.677
F 0.042 0.364 0.364
F 0.136 0.136 0.458
F 0.136 0.177 0.000
F 0.136 0.458 0.136
F 0.136 0.500 0.677
F 0.177 0.000 0.136
F 0.177 0.000 0.636
F 0.177 0.677 0.042
F 0.177 0.677 0.542
F 0.323 0.364 0.500
F 0.323 0.458 0.823
F 0.323 0.864 0.500
F 0.323 0.958 0.823
F 0.364 0.042 0.364
F 0.364 0.364 0.042
F 0.364 0.500 0.323
F 0.364 0.823 0.000
F 0.458 0.136 0.136
F 0.458 0.823 0.323
F 0.500 0.323 0.364
F 0.500 0.323 0.864
F 0.500 0.677 0.136
F 0.500 0.677 0.636
F 0.542 0.177 0.677
F 0.542 0.864 0.864
F 0.636 0.177 0.000
F 0.636 0.500 0.677
F 0.636 0.636 0.958
F 0.636 0.958 0.636
F 0.677 0.042 0.177
F 0.677 0.136 0.500
F 0.677 0.542 0.177
F 0.677 0.636 0.500
F 0.823 0.000 0.364
F 0.823 0.000 0.864
F 0.823 0.323 0.458
F 0.823 0.323 0.958
F 0.864 0.500 0.323
F 0.864 0.542 0.864
F 0.864 0.823 0.000
F 0.864 0.864 0.542
F 0.958 0.636 0.636
F 0.958 0.823 0.323


Li2Au4F | PBE | optimized geometry

D(E_F): 0.43 states/eV per atom
final energy: -2.673 eV per atom

a = 7.878 Å, b = 7.878 Å, c = 7.878 Å
α = 147.41°, β = 147.41°, γ = 46.76°
Atoms (fractional coordinates):
Li 0.123 0.123 0.000
Li 0.877 0.877 0.000
Au 0.000 0.500 0.500
Au 0.292 0.292 0.000
Au 0.500 0.000 0.500
Au 0.708 0.708 0.000
F 0.500 0.500 0.000